Entry 1:
{
  "formula": "TmTh2Cu",
  "functional": "PBE-GGA",
  "state": "optimized geometry",
  "delta_e_f_mev_per_atom": 116,
  "de_polymorph_mev_per_atom": 102,
  "magnetic_moment_mub_per_cell": 0.000,
  "dft_energy_ev_per_cell": -68.83,
  "dos_ef_per_ev_fu": 4.83,
  "lattice": [[3.609, 0.000, 0.000], [-1.805, 3.126, 0.000], [0.000, 0.000, 29.901]],
  "species": ["Tm", "Tm", "Tm", "Th", "Th", "Th", "Th", "Th", "Th", "Cu", "Cu", "Cu"],
  "fractional_positions": [[0.000, 0.000, 0.000], [0.333, 0.667, 0.667], [0.667, 0.333, 0.333], [0.000, 0.000, 0.238], [0.000, 0.000, 0.762], [0.333, 0.667, 0.429], [0.333, 0.667, 0.904], [0.667, 0.333, 0.096], [0.667, 0.333, 0.571], [0.000, 0.000, 0.500], [0.333, 0.667, 0.167], [0.667, 0.333, 0.833]]
}

Entry 2:
{
  "formula": "TmTh2Cu",
  "functional": "PBE-GGA",
  "state": "optimized geometry",
  "delta_e_f_mev_per_atom": 14,
  "de_polymorph_mev_per_atom": 0,
  "magnetic_moment_mub_per_cell": 0.000,
  "dft_energy_ev_per_cell": -23.35,
  "dos_ef_per_ev_fu": 4.26,
  "lattice": [[3.538, 0.000, 0.000], [0.000, 3.538, 0.000], [0.000, 0.000, 8.757]],
  "species": ["Tm", "Th", "Th", "Cu"],
  "fractional_positions": [[0.000, 0.000, 0.000], [0.500, 0.500, 0.291], [0.500, 0.500, 0.709], [0.000, 0.000, 0.500]]
}

Entry 3:
{
  "formula": "Tm3ThCu2",
  "functional": "PBE-GGA",
  "state": "optimized geometry",
  "delta_e_f_mev_per_atom": -169,
  "magnetic_moment_mub_per_cell": 0.000,
  "dft_energy_ev_per_cell": -30.04,
  "dos_ef_per_ev_fu": 7.24,
  "lattice": [[3.453, 0.000, 0.000], [0.000, 3.453, 0.000], [0.000, 0.000, 11.942]],
  "species": ["Tm", "Tm", "Tm", "Th", "Cu", "Cu"],
  "fractional_positions": [[0.000, 0.000, 0.000], [0.000, 0.000, 0.283], [0.000, 0.000, 0.717], [0.500, 0.500, 0.500], [0.500, 0.500, 0.143], [0.500, 0.500, 0.857]]
}

Entry 4:
{
  "formula": "TmThCu4",
  "functional": "PBE-GGA",
  "state": "optimized geometry",
  "delta_e_f_mev_per_atom": -236,
  "de_polymorph_mev_per_atom": 0,
  "magnetic_moment_mub_per_cell": 0.000,
  "dft_energy_ev_per_cell": -59.38,
  "dos_ef_per_ev_fu": 4.23,
  "lattice": [[4.321, 0.000, 0.000], [0.000, 6.874, 0.000], [0.000, 0.000, 7.416]],
  "species": ["Tm", "Tm", "Th", "Th", "Cu", "Cu", "Cu", "Cu", "Cu", "Cu", "Cu", "Cu"],
  "fractional_positions": [[0.000, 0.000, 0.000], [0.500, 0.500, 0.500], [0.000, 0.500, 0.925], [0.500, 0.000, 0.425], [0.000, 0.206, 0.632], [0.000, 0.298, 0.302], [0.000, 0.702, 0.302], [0.000, 0.794, 0.632], [0.500, 0.202, 0.802], [0.500, 0.294, 0.132], [0.500, 0.706, 0.132], [0.500, 0.798, 0.802]]
}

Entry 5:
{
  "formula": "Tm4ThCu5",
  "functional": "PBE-GGA",
  "state": "optimized geometry",
  "delta_e_f_mev_per_atom": -244,
  "magnetic_moment_mub_per_cell": 0.000,
  "dft_energy_ev_per_cell": -48.23,
  "dos_ef_per_ev_fu": 5.61,
  "lattice": [[3.420, 0.000, 0.000], [0.000, 3.420, 0.000], [0.000, 0.000, 17.535]],
  "species": ["Tm", "Tm", "Tm", "Tm", "Th", "Cu", "Cu", "Cu", "Cu", "Cu"],
  "fractional_positions": [[0.000, 0.000, 0.098], [0.000, 0.000, 0.293], [0.000, 0.000, 0.707], [0.000, 0.000, 0.902], [0.000, 0.000, 0.500], [0.500, 0.500, 0.000], [0.500, 0.500, 0.197], [0.500, 0.500, 0.387], [0.500, 0.500, 0.613], [0.500, 0.500, 0.803]]
}

Entry 6:
{
  "formula": "Tm2ThCu3",
  "functional": "PBE-GGA",
  "state": "optimized geometry",
  "delta_e_f_mev_per_atom": -210,
  "magnetic_moment_mub_per_cell": 0.000,
  "dft_energy_ev_per_cell": -29.91,
  "dos_ef_per_ev_fu": 4.65,
  "lattice": [[3.428, 0.000, 0.000], [0.000, 3.428, 0.000], [0.000, 0.000, 10.650]],
  "species": ["Tm", "Tm", "Th", "Cu", "Cu", "Cu"],
  "fractional_positions": [[0.000, 0.000, 0.160], [0.000, 0.000, 0.840], [0.000, 0.000, 0.500], [0.500, 0.500, 0.000], [0.500, 0.500, 0.314], [0.500, 0.500, 0.686]]
}

Entry 7:
{
  "formula": "TmTh2Cu6",
  "functional": "PBE-GGA",
  "state": "optimized geometry",
  "delta_e_f_mev_per_atom": -212,
  "magnetic_moment_mub_per_cell": 0.000,
  "dft_energy_ev_per_cell": -45.79,
  "dos_ef_per_ev_fu": 7.76,
  "lattice": [[7.465, 0.000, 0.000], [-3.732, 6.464, 0.000], [0.000, 0.000, 3.551]],
  "species": ["Tm", "Th", "Th", "Cu", "Cu", "Cu", "Cu", "Cu", "Cu"],
  "fractional_positions": [[0.000, 0.000, 0.000], [0.333, 0.667, 0.000], [0.667, 0.333, 0.000], [0.000, 0.330, 0.500], [0.000, 0.670, 0.500], [0.330, 0.000, 0.500], [0.330, 0.330, 0.500], [0.670, 0.000, 0.500], [0.670, 0.670, 0.500]]
}

Entry 8:
{
  "formula": "TmThZnCu",
  "functional": "PBE-GGA",
  "state": "optimized geometry",
  "delta_e_f_mev_per_atom": -174,
  "magnetic_moment_mub_per_cell": 1.283,
  "dft_energy_ev_per_cell": -71.83,
  "dos_ef_per_ev_fu": 4.91,
  "lattice": [[7.124, 0.000, 0.000], [0.000, 7.124, 0.000], [0.000, 0.000, 7.124]],
  "species": ["Tm", "Tm", "Tm", "Tm", "Th", "Th", "Th", "Th", "Zn", "Zn", "Zn", "Zn", "Cu", "Cu", "Cu", "Cu"],
  "fractional_positions": [[0.000, 0.000, 0.000], [0.000, 0.500, 0.500], [0.500, 0.000, 0.500], [0.500, 0.500, 0.000], [0.000, 0.000, 0.500], [0.000, 0.500, 0.000], [0.500, 0.000, 0.000], [0.500, 0.500, 0.500], [0.250, 0.250, 0.250], [0.250, 0.750, 0.750], [0.750, 0.250, 0.750], [0.750, 0.750, 0.250], [0.250, 0.250, 0.750], [0.250, 0.750, 0.250], [0.750, 0.250, 0.250], [0.750, 0.750, 0.750]]
}

Entry 9:
{
  "formula": "Th2UCu",
  "functional": "PBE-GGA",
  "state": "optimized geometry",
  "delta_e_f_mev_per_atom": 545,
  "magnetic_moment_mub_per_cell": 6.682,
  "dft_energy_ev_per_cell": -84.13,
  "dos_ef_per_ev_fu": 7.58,
  "lattice": [[3.270, 0.000, 0.000], [-1.635, 2.832, 0.000], [0.000, 0.000, 33.060]],
  "species": ["Th", "Th", "Th", "Th", "Th", "Th", "U", "U", "U", "Cu", "Cu", "Cu"],
  "fractional_positions": [[0.000, 0.000, 0.096], [0.000, 0.000, 0.904], [0.333, 0.667, 0.571], [0.333, 0.667, 0.762], [0.667, 0.333, 0.238], [0.667, 0.333, 0.429], [0.000, 0.000, 0.000], [0.333, 0.667, 0.667], [0.667, 0.333, 0.333], [0.000, 0.000, 0.500], [0.333, 0.667, 0.167], [0.667, 0.333, 0.833]]
}

Entry 10:
{
  "formula": "ThVCu",
  "functional": "PBE-GGA",
  "state": "optimized geometry",
  "delta_e_f_mev_per_atom": 176,
  "magnetic_moment_mub_per_cell": 0.000,
  "dft_energy_ev_per_cell": -80.42,
  "dos_ef_per_ev_fu": 3.11,
  "lattice": [[9.089, 0.000, 0.000], [0.000, 6.727, 0.000], [-2.211, 0.000, 3.910]],
  "species": ["Th", "Th", "Th", "Th", "V", "V", "V", "V", "Cu", "Cu", "Cu", "Cu"],
  "fractional_positions": [[0.000, 0.000, 0.000], [0.125, 0.500, 0.122], [0.500, 0.500, 0.000], [0.625, 0.000, 0.122], [0.237, 0.152, 0.737], [0.237, 0.848, 0.737], [0.737, 0.348, 0.737], [0.737, 0.652, 0.737], [0.405, 0.191, 0.404], [0.405, 0.809, 0.404], [0.905, 0.309, 0.404], [0.905, 0.691, 0.404]]
}

Entry 11:
{
  "formula": "Th2VCu",
  "functional": "PBE-GGA",
  "state": "optimized geometry",
  "delta_e_f_mev_per_atom": 686,
  "magnetic_moment_mub_per_cell": 6.667,
  "dft_energy_ev_per_cell": -75.93,
  "dos_ef_per_ev_fu": 5.74,
  "lattice": [[3.311, 0.000, 0.000], [-1.656, 2.868, 0.000], [0.000, 0.000, 30.625]],
  "species": ["Th", "Th", "Th", "Th", "Th", "Th", "V", "V", "V", "Cu", "Cu", "Cu"],
  "fractional_positions": [[0.000, 0.000, 0.089], [0.000, 0.000, 0.911], [0.333, 0.667, 0.577], [0.333, 0.667, 0.756], [0.667, 0.333, 0.244], [0.667, 0.333, 0.423], [0.000, 0.000, 0.000], [0.333, 0.667, 0.667], [0.667, 0.333, 0.333], [0.000, 0.000, 0.500], [0.333, 0.667, 0.167], [0.667, 0.333, 0.833]]
}

Entry 12:
{
  "formula": "YTh2Cu",
  "functional": "PBE-GGA",
  "state": "optimized geometry",
  "delta_e_f_mev_per_atom": 18,
  "de_polymorph_mev_per_atom": 0,
  "magnetic_moment_mub_per_cell": 0.000,
  "dft_energy_ev_per_cell": -25.33,
  "dos_ef_per_ev_fu": 4.33,
  "lattice": [[3.572, 0.000, 0.000], [0.000, 3.572, 0.000], [0.000, 0.000, 8.751]],
  "species": ["Y", "Th", "Th", "Cu"],
  "fractional_positions": [[0.000, 0.000, 0.000], [0.500, 0.500, 0.296], [0.500, 0.500, 0.704], [0.000, 0.000, 0.500]]
}

Entry 13:
{
  "formula": "YThCu2",
  "functional": "PBE-GGA",
  "state": "optimized geometry",
  "delta_e_f_mev_per_atom": -143,
  "de_polymorph_mev_per_atom": 28,
  "magnetic_moment_mub_per_cell": 0.001,
  "dft_energy_ev_per_cell": -22.65,
  "dos_ef_per_ev_fu": 3.71,
  "lattice": [[5.062, 0.000, 0.000], [0.000, 5.062, 0.000], [0.000, 0.000, 3.443]],
  "species": ["Y", "Th", "Cu", "Cu"],
  "fractional_positions": [[0.000, 0.000, 0.000], [0.500, 0.500, 0.000], [0.000, 0.500, 0.500], [0.500, 0.000, 0.500]]
}